1.
Density functional theory data (GGA-PBE) for an optimized crystal structure of TbNd2Tm5Sc.

Geometry as POSCAR:
```
TbNd2Tm5Sc
1.0
-0.028 -7.748 -3.480
8.366 -0.625 1.324
-5.500 1.073 8.021
Tb Nd Tm Sc
2 4 10 2
direct
0.250 0.250 0.500 Tb
0.750 0.750 0.500 Tb
0.119 0.381 0.000 Nd
0.619 0.119 0.000 Nd
0.381 0.881 0.000 Nd
0.881 0.619 0.000 Nd
0.933 0.433 0.285 Tm
0.648 0.148 0.715 Tm
0.067 0.567 0.715 Tm
0.148 0.067 0.715 Tm
0.567 0.648 0.715 Tm
0.852 0.933 0.285 Tm
0.433 0.352 0.285 Tm
0.352 0.852 0.285 Tm
0.500 0.500 0.000 Tm
0.000 0.000 0.000 Tm
0.250 0.750 0.500 Sc
0.750 0.250 0.500 Sc
```

E_form	0.275	eV/atom
D(E_F)	22.88	states/eV per cell

2.
Density functional theory data (GGA-PBE) for an optimized crystal structure of Rb2HgBiPb.

Geometry as POSCAR:
```
Rb2HgBiPb
1.0
-3.262 1.331 -3.867
-6.614 -5.239 3.776
-0.632 8.629 3.503
Rb Hg Bi Pb
4 2 2 2
direct
0.750 0.881 0.628 Rb
0.750 0.689 0.058 Rb
0.250 0.119 0.372 Rb
0.250 0.311 0.942 Rb
0.250 0.911 0.936 Hg
0.750 0.089 0.064 Hg
0.250 0.634 0.346 Bi
0.750 0.366 0.654 Bi
0.250 0.578 0.669 Pb
0.750 0.422 0.331 Pb
```

E_form	-0.254	eV/atom
D(E_F)	5.68	states/eV per cell

3.
Density functional theory data (GGA-PBE) for an optimized crystal structure of Mn2NiRh.

Geometry as POSCAR:
```
Mn2NiRh
1.0
-1.240 -1.676 -2.205
0.897 -3.498 2.154
-7.457 0.456 3.847
Mn Ni Rh
4 2 2
direct
0.000 0.250 0.117 Mn
0.000 0.750 0.883 Mn
0.000 0.250 0.633 Mn
0.000 0.750 0.367 Mn
0.500 0.250 0.878 Ni
0.500 0.750 0.122 Ni
0.500 0.250 0.372 Rh
0.500 0.750 0.628 Rh
```

E_form	-0.097	eV/atom
D(E_F)	4.76	states/eV per cell

4.
Density functional theory data (GGA-PBE) for an optimized crystal structure of Pm4CoSCl2.

Geometry as POSCAR:
```
Pm4CoSCl2
1.0
-0.798 0.923 -3.700
-6.711 -2.596 0.801
-0.106 7.231 1.826
Pm Co S Cl
4 1 1 2
direct
0.500 0.214 0.205 Pm
0.500 0.786 0.795 Pm
0.000 0.256 0.786 Pm
0.000 0.744 0.214 Pm
0.000 0.000 0.000 Co
0.500 0.500 0.000 S
0.500 0.000 0.500 Cl
0.000 0.500 0.500 Cl
```

formation energy without anion corrections	-1.28	eV/atom
D(E_F)	4.82	states/eV per cell

5.
Density functional theory data (GGA-PBE) for an optimized crystal structure of TiAgSeO5.

Geometry as POSCAR:
```
TiAgSeO5
1.0
-3.369 0.777 4.386
-0.324 -5.575 0.065
7.361 2.230 1.910
Ti Ag Se O
2 2 2 10
direct
0.000 0.000 0.500 Ti
0.000 0.000 0.000 Ti
0.284 0.716 0.250 Ag
0.716 0.284 0.750 Ag
0.684 0.316 0.250 Se
0.316 0.684 0.750 Se
0.010 0.990 0.250 O
0.990 0.010 0.750 O
0.805 0.279 0.037 O
0.195 0.721 0.963 O
0.721 0.195 0.463 O
0.279 0.805 0.537 O
0.727 0.651 0.359 O
0.273 0.349 0.641 O
0.349 0.273 0.141 O
0.651 0.727 0.859 O
```

formation energy without anion corrections	-1.29	eV/atom
D(E_F)	4.70	states/eV per cell

6.
Density functional theory data (GGA-PBE) for an optimized crystal structure of Ac12OsPb6.

Geometry as POSCAR:
```
Ac12OsPb6
1.0
9.449 -0.014 -0.016
-1.446 9.338 -0.016
-1.446 -1.685 9.184
Ac Os Pb
12 1 6
direct
0.806 0.574 0.438 Ac
0.438 0.806 0.574 Ac
0.574 0.438 0.806 Ac
0.194 0.426 0.562 Ac
0.562 0.194 0.426 Ac
0.426 0.562 0.194 Ac
0.050 0.003 0.314 Ac
0.997 0.686 0.950 Ac
0.686 0.950 0.997 Ac
0.950 0.997 0.686 Ac
0.003 0.314 0.050 Ac
0.314 0.050 0.003 Ac
0.000 0.000 0.000 Os
0.684 0.877 0.344 Pb
0.656 0.316 0.123 Pb
0.123 0.656 0.316 Pb
0.316 0.123 0.656 Pb
0.344 0.684 0.877 Pb
0.877 0.344 0.684 Pb
```

E_form	-0.270	eV/atom
D(E_F)	22.14	states/eV per cell

7.
Density functional theory data (GGA-PBE) for an optimized crystal structure of LaCo4Ru.

Geometry as POSCAR:
```
LaCo4Ru
1.0
2.521 -4.294 0.307
2.980 -0.870 3.905
-1.285 -3.409 3.408
La Co Ru
1 4 1
direct
0.750 0.750 0.750 La
0.877 0.374 0.374 Co
0.374 0.374 0.877 Co
0.374 0.877 0.374 Co
0.374 0.374 0.374 Co
0.000 0.000 0.000 Ru
```

E_form	0.178	eV/atom
D(E_F)	7.95	states/eV per cell

8.
Density functional theory data (GGA-PBE) for an optimized crystal structure of ScReAs2Br.

Geometry as POSCAR:
```
ScReAs2Br
1.0
-0.347 -3.594 -3.736
-0.376 -3.717 3.610
-4.980 0.493 -0.011
Sc Re As Br
1 1 2 1
direct
0.000 0.000 0.000 Sc
0.500 0.500 0.500 Re
0.000 0.500 0.000 As
0.500 0.000 0.000 As
0.000 0.000 0.500 Br
```

relative energy among the computed polymorphs	0.582	eV/atom
formation energy without anion corrections	0.96	eV/atom
D(E_F)	2.79	states/eV per cell

9.
Density functional theory data (GGA-PBE) for an optimized crystal structure of Ac3Mg2Au7.

Geometry as POSCAR:
```
Ac3Mg2Au7
1.0
4.519 0.000 0.000
0.000 4.966 0.066
0.000 -2.266 13.601
Ac Mg Au
3 2 7
direct
0.500 0.500 0.000 Ac
0.000 0.200 0.361 Ac
0.000 0.800 0.639 Ac
0.500 0.631 0.260 Mg
0.500 0.369 0.740 Mg
0.500 0.731 0.452 Au
0.500 0.269 0.548 Au
0.000 0.723 0.168 Au
0.000 0.000 0.000 Au
0.000 0.277 0.832 Au
0.500 0.893 0.826 Au
0.500 0.107 0.174 Au
```

E_form	-0.647	eV/atom
D(E_F)	5.53	states/eV per cell

10.
Density functional theory data (GGA-PBE) for an optimized crystal structure of YAgGeS4.

Geometry as POSCAR:
```
YAgGeS4
1.0
-2.753 0.194 6.912
-4.461 -5.703 2.390
2.934 -4.624 5.306
Y Ag Ge S
2 2 2 8
direct
0.000 0.000 0.000 Y
0.000 0.500 0.500 Y
0.500 0.000 0.500 Ag
0.000 0.000 0.500 Ag
0.638 0.612 0.112 Ge
0.362 0.388 0.888 Ge
0.743 0.750 0.765 S
0.257 0.735 0.750 S
0.743 0.265 0.250 S
0.257 0.250 0.235 S
0.256 0.748 0.248 S
0.748 0.748 0.248 S
0.252 0.252 0.752 S
0.744 0.252 0.752 S
```

formation energy without anion corrections	-0.78	eV/atom
D(E_F)	2.50	states/eV per cell

11.
Density functional theory data (GGA-PBE) for an optimized crystal structure of UMnS3.

Geometry as POSCAR:
```
UMnS3
1.0
3.679 0.000 0.000
0.000 7.685 0.000
0.000 0.000 13.327
U Mn S
4 4 12
direct
0.750 0.859 0.812 U
0.250 0.141 0.188 U
0.750 0.359 0.688 U
0.250 0.641 0.312 U
0.250 0.326 0.953 Mn
0.250 0.826 0.547 Mn
0.750 0.174 0.453 Mn
0.750 0.674 0.047 Mn
0.250 0.337 0.536 S
0.750 0.849 0.204 S
0.750 0.499 0.884 S
0.750 0.999 0.616 S
0.750 0.663 0.464 S
0.250 0.001 0.384 S
0.250 0.837 0.964 S
0.750 0.349 0.296 S
0.250 0.651 0.704 S
0.250 0.151 0.796 S
0.750 0.163 0.036 S
0.250 0.501 0.116 S
```

relative energy among the computed polymorphs	0.000	eV/atom
formation energy without anion corrections	-1.01	eV/atom
D(E_F)	26.19	states/eV per cell

12.
Density functional theory data (GGA-PBE) for an optimized crystal structure of La3HoGe6.

Geometry as POSCAR:
```
La3HoGe6
1.0
7.917 -0.103 -1.061
-1.199 7.826 -1.061
-0.090 -0.103 7.987
La Ho Ge
6 2 12
direct
0.184 0.750 0.316 La
0.316 0.184 0.750 La
0.250 0.684 0.816 La
0.750 0.316 0.184 La
0.684 0.816 0.250 La
0.816 0.250 0.684 La
0.000 0.000 0.000 Ho
0.500 0.500 0.500 Ho
0.911 0.622 0.986 Ge
0.014 0.089 0.378 Ge
0.122 0.411 0.486 Ge
0.378 0.014 0.089 Ge
0.411 0.486 0.122 Ge
0.514 0.878 0.589 Ge
0.486 0.122 0.411 Ge
0.589 0.514 0.878 Ge
0.622 0.986 0.911 Ge
0.878 0.589 0.514 Ge
0.986 0.911 0.622 Ge
0.089 0.378 0.014 Ge
```

E_form	-0.714	eV/atom
D(E_F)	14.46	states/eV per cell

13.
Density functional theory data (GGA-PBE) for an optimized crystal structure of CsCaTeSe2.

Geometry as POSCAR:
```
CsCaTeSe2
1.0
-6.154 0.465 -0.933
-1.307 -0.128 8.555
0.850 6.628 -2.303
Cs Ca Te Se
2 2 2 4
direct
0.204 0.500 0.750 Cs
0.796 0.500 0.250 Cs
0.493 0.000 0.250 Ca
0.507 0.000 0.750 Ca
0.000 0.000 0.000 Te
0.000 0.000 0.500 Te
0.685 0.754 0.897 Se
0.685 0.246 0.603 Se
0.315 0.754 0.397 Se
0.315 0.246 0.103 Se
```

formation energy without anion corrections	-1.09	eV/atom
D(E_F)	7.79	states/eV per cell

14.
Density functional theory data (GGA-PBE) for an optimized crystal structure of KSr2W.

Geometry as POSCAR:
```
KSr2W
1.0
-5.552 -7.151 3.636
-6.635 -6.592 -2.776
8.448 4.847 0.576
K Sr W
1 2 1
direct
0.334 0.834 0.500 K
0.005 0.005 0.000 Sr
0.653 0.153 0.500 Sr
0.509 0.509 0.000 W
```

relative energy among the computed polymorphs	0.194	eV/atom
E_form	1.171	eV/atom
D(E_F)	5.09	states/eV per cell

15.
Density functional theory data (GGA-PBE) for an optimized crystal structure of NaTaZnH2.

Geometry as POSCAR:
```
NaTaZnH2
1.0
-2.115 -3.044 0.267
4.730 -3.378 -1.039
0.688 -0.159 3.649
Na Zn H Ta
1 1 2 1
direct
0.000 0.500 0.000 Na
0.500 0.500 0.500 Zn
0.000 0.000 0.500 H
0.500 0.000 0.000 H
0.000 0.000 0.000 Ta
```

final energy	-3.374	eV/atom
D(E_F)	2.87	states/eV per cell

16.
Density functional theory data (GGA-PBE) for an optimized crystal structure of NaMg6BiO8.

Geometry as POSCAR:
```
NaMg6BiO8
1.0
-2.638 1.483 3.307
-1.578 -4.152 0.604
6.565 -1.626 5.966
Na Mg Bi O
1 6 1 8
direct
0.000 0.000 0.000 Na
0.500 0.500 0.000 Mg
0.500 0.500 0.500 Mg
0.000 0.500 0.224 Mg
0.000 0.500 0.776 Mg
0.500 0.000 0.224 Mg
0.500 0.000 0.776 Mg
0.000 0.000 0.500 Bi
0.000 0.000 0.245 O
0.000 0.000 0.755 O
0.500 0.500 0.252 O
0.500 0.500 0.748 O
0.000 0.500 0.000 O
0.000 0.500 0.500 O
0.500 0.000 0.000 O
0.500 0.000 0.500 O
```

relative energy among the computed polymorphs	0.065	eV/atom
formation energy without anion corrections	-2.16	eV/atom

17.
Density functional theory data (GGA-PBE) for an optimized crystal structure of PmHoCoSi.

Geometry as POSCAR:
```
PmHoCoSi
1.0
4.932 0.000 0.000
2.466 4.271 0.000
2.466 1.424 4.027
Si Co Ho Pm
1 1 1 1
direct
0.250 0.250 0.250 Si
0.750 0.750 0.750 Co
0.000 0.000 0.000 Ho
0.500 0.500 0.500 Pm
```

formation energy without anion corrections	-0.28	eV/atom
D(E_F)	2.09	states/eV per cell

18.
Density functional theory data (GGA-PBE) for an optimized crystal structure of Ca3DyU2N6.

Geometry as POSCAR:
```
Ca3DyU2N6
1.0
3.509 0.000 0.000
0.000 7.004 0.248
-1.755 -2.021 7.291
Ca Dy U N
3 1 2 6
direct
0.500 0.500 0.000 Ca
0.834 0.166 0.668 Ca
0.166 0.834 0.332 Ca
0.500 0.000 0.000 Dy
0.835 0.671 0.670 U
0.165 0.329 0.330 U
0.336 0.891 0.672 N
0.677 0.563 0.355 N
0.664 0.109 0.328 N
0.015 0.248 0.029 N
0.985 0.752 0.971 N
0.323 0.437 0.645 N
```

formation energy without anion corrections	-1.37	eV/atom
D(E_F)	6.68	states/eV per cell

19.
Density functional theory data (GGA-PBE) for an optimized crystal structure of CuAs4S3Cl.

Geometry as POSCAR:
```
CuAs4S3Cl
1.0
-6.905 -1.392 -2.245
3.808 -9.163 -6.030
-1.664 -6.857 9.369
Cu As S Cl
4 16 12 4
direct
0.000 0.670 0.750 Cu
0.500 0.670 0.750 Cu
0.000 0.330 0.250 Cu
0.500 0.330 0.250 Cu
0.250 0.245 0.807 As
0.580 0.366 0.550 As
0.080 0.366 0.950 As
0.250 0.898 0.582 As
0.080 0.634 0.450 As
0.420 0.366 0.950 As
0.250 0.102 0.082 As
0.920 0.634 0.050 As
0.420 0.634 0.450 As
0.920 0.366 0.550 As
0.750 0.898 0.918 As
0.750 0.755 0.193 As
0.750 0.102 0.418 As
0.250 0.755 0.307 As
0.750 0.245 0.693 As
0.580 0.634 0.050 As
0.986 0.231 0.415 S
0.250 0.070 0.893 S
0.750 0.930 0.107 S
0.986 0.769 0.915 S
0.014 0.231 0.085 S
0.250 0.930 0.393 S
0.514 0.231 0.415 S
0.014 0.769 0.585 S
0.486 0.769 0.585 S
0.486 0.231 0.085 S
0.750 0.070 0.607 S
0.514 0.769 0.915 S
0.250 0.541 0.766 Cl
0.250 0.459 0.266 Cl
0.750 0.459 0.234 Cl
0.750 0.541 0.734 Cl
```

formation energy without anion corrections	-0.23	eV/atom
D(E_F)	0.00	states/eV per cell

20.
Density functional theory data (GGA-PBE) for an optimized crystal structure of FeCoRh2.

Geometry as POSCAR:
```
FeCoRh2
1.0
-2.496 -1.583 -2.697
2.082 -0.879 -1.411
0.972 -4.620 1.811
Co Rh Fe
1 2 1
direct
0.000 0.690 0.495 Co
0.000 0.952 0.971 Rh
0.500 0.297 0.281 Rh
0.500 0.561 0.753 Fe
```

E_form	0.041	eV/atom
D(E_F)	6.08	states/eV per cell